DFT (GGA-PBEsol) results for a relaxed structure of MnBiSeCl2.

a b c (Å): 4.967 4.967 5.060
angles (deg): 90.00 90.00 90.00
Each line ends with the local moment (μB).
Positions (direct):
Bi  0.500  0.500  0.500  -0.24
Cl  0.000  0.500  0.000  -0.01
Cl  0.500  0.000  0.000  -0.01
Mn  0.000  0.000  0.500  4.17
Se  0.000  0.000  0.000  -0.04

Calculated values
Density of states at the Fermi level, states/eV/cell: 3.31
Volume, Å³ per atom: 24.97
Formation energy without anion corrections, kJ per mole of atoms: 38.9
Theoretical density, kg/m3: 5503
Crystal system: tetragonal
Space-group type: P4/mmm